Computed, not measured: a geometry-optimized NaLaPm structure at the PBE level of DFT.

Values from the calculation:
Its size of the total moment is 0.0 μB/f.u. The space group is P4/nmm (129). The density of states at the Fermi level is 1.31 states/eV per atom. The energy of formation is 0.082 eV/atom. Its total energy is -21.50 eV for the cell shown.

a = 3.6235 Å, b = 3.6235 Å, c = 16.6697 Å
α = 90.00°, β = 90.00°, γ = 90.00°
Fractional coordinates of all 6 atoms:
Na: 0.2500 0.2500 0.0873
Na: 0.7500 0.7500 0.9127
La: 0.2500 0.2500 0.4150
La: 0.7500 0.7500 0.5850
Pm: 0.2500 0.2500 0.7413
Pm: 0.7500 0.7500 0.2587